Computed, not measured: a relaxed structure of CsPb2W2 at the GGA-PBE level of DFT.

As for the energy of formation from the pure elements: 4.791 eV per formula unit. As for the density of states at the Fermi level: 3.8 states/eV per cell. As for the energy above the most stable polymorph in this dataset: 0.0000 eV per atom.

The structure belongs to space group P4/mbm (No. 127); the cell edges are 9.489, 9.489 and 3.159 Å and the angles 90.00°, 90.00° and 90.00°. The inequivalent atoms are Cs at (0.000, 0.000, 0.000), Pb at (0.174, 0.326, 0.500) and W at (0.086, 0.586, 0.000).

Computed, not measured: a relaxed structure of CsZr2PbW at the GGA-PBE level of DFT.

As for the energy of formation from the pure elements: 11.798 eV per formula unit. As for the density of states at the Fermi level: 5.0 states/eV per cell.

The structure belongs to space group P4/mmm (No. 123); the cell edges are 5.245, 5.245 and 5.031 Å and the angles 90.00°, 90.00° and 90.00°. The inequivalent atoms are Cs at (0.000, 0.000, 0.000), Zr at (0.000, 0.500, 0.000), Pb at (0.500, 0.500, 0.500) and W at (0.000, 0.000, 0.500).

Computed, not measured: a relaxed structure of CsYPb at the GGA-PBE level of DFT.

As for the energy of formation from the pure elements: -0.595 eV per formula unit. As for the density of states at the Fermi level: 0.0 states/eV per cell. As for the energy above the most stable polymorph in this dataset: 0.1036 eV per atom.

The structure belongs to space group Pmn2_1 (No. 31); the cell edges are 5.714, 8.397 and 5.714 Å and the angles 90.00°, 90.00° and 90.00°. The inequivalent atoms are Cs at (0.000, 0.000, 0.000), Y at (0.000, 0.500, 0.999) and Pb at (0.000, 0.339, 0.499).

- What is the energy of formation from the pure elements in the first record?
  4.791 eV per formula unit